[1]
The following is a PBE calculation of MgIn2Hg5Pb after structural relaxation, from the Alexandria database.

Properties
Calculated formation energy   -0.008 eV per atom
D(E_F)   6.16 states/eV/cell
Space-group type   Cmc2_1
Spin magnetization   0.00 μB per cell

CIF file:
```
data_MgIn2Hg5Pb
_chemical_formula_sum 'Mg2 In4 Hg10 Pb2'
_symmetry_space_group_name_H-M 'P 1'
_symmetry_Int_Tables_number 1
_symmetry_space_group_name_Hall 'P 1'
_cell_length_a 3.3238
_cell_length_b 9.8548
_cell_length_c 14.6707
_cell_angle_alpha 90.00
_cell_angle_beta 90.00
_cell_angle_gamma 99.71
loop_
_atom_site_label
_atom_site_type_symbol
_atom_site_fract_x
_atom_site_fract_y
_atom_site_fract_z
Hg1 Hg 0.7104 0.4209 0.8822
Hg2 Hg 0.7087 0.4174 0.1903
Hg3 Hg 0.4175 0.8350 0.0417
Hg4 Hg 0.2896 0.5791 0.3822
Hg5 Hg 0.1145 0.2290 0.0379
Hg6 Hg 0.5825 0.1650 0.5417
Hg7 Hg 0.4667 0.9335 0.6833
Hg8 Hg 0.5333 0.0665 0.1833
Hg9 Hg 0.8855 0.7710 0.5379
Hg10 Hg 0.2913 0.5826 0.6903
In1 In 0.8684 0.7369 0.8523
In2 In 0.8660 0.7319 0.2210
In3 In 0.1340 0.2681 0.7210
In4 In 0.1316 0.2631 0.3523
Pb1 Pb 0.4712 0.9424 0.3796
Pb2 Pb 0.5288 0.0576 0.8796
Mg1 Mg 0.7302 0.4604 0.5356
Mg2 Mg 0.2698 0.5396 0.0356
```



[2]
The following is a PBE calculation of TmPuGaPb after structural relaxation, from the Alexandria database.

Properties
Calculated formation energy   -0.264 eV per atom
D(E_F)   9.73 states/eV/cell
Space-group type   F-43m
Spin magnetization   5.98 μB per cell

CIF file:
```
data_TmPuGaPb
_chemical_formula_sum 'Tm1 Pu1 Ga1 Pb1'
_symmetry_space_group_name_H-M 'P 1'
_symmetry_Int_Tables_number 1
_symmetry_space_group_name_Hall 'P 1'
_cell_length_a 5.2500
_cell_length_b 5.2500
_cell_length_c 5.2500
_cell_angle_alpha 60.00
_cell_angle_beta 60.00
_cell_angle_gamma 60.00
loop_
_atom_site_label
_atom_site_type_symbol
_atom_site_fract_x
_atom_site_fract_y
_atom_site_fract_z
Pb1 Pb 0.7500 0.7500 0.7500
Pu1 Pu 0.0000 0.0000 0.0000
Tm1 Tm 0.5000 0.5000 0.5000
Ga1 Ga 0.2500 0.2500 0.2500
```



[3]
The following is a PBE calculation of RePt3O after structural relaxation, from the Alexandria database.

Properties
D(E_F)   7.55 states/eV/cell
E above lowest polymorph   0.915 eV/atom
Space-group type   Pm-3m
Spin magnetization   0.00 μB per cell

CIF file:
```
data_RePt3O
_chemical_formula_sum 'Re1 Pt3 O1'
_symmetry_space_group_name_H-M 'P 1'
_symmetry_Int_Tables_number 1
_symmetry_space_group_name_Hall 'P 1'
_cell_length_a 4.8067
_cell_length_b 4.8067
_cell_length_c 4.8067
_cell_angle_alpha 90.00
_cell_angle_beta 90.00
_cell_angle_gamma 90.00
loop_
_atom_site_label
_atom_site_type_symbol
_atom_site_fract_x
_atom_site_fract_y
_atom_site_fract_z
Pt1 Pt 0.0000 0.5000 0.0000
Pt2 Pt 0.5000 0.0000 0.0000
Pt3 Pt 0.0000 0.0000 0.5000
O1 O 0.5000 0.5000 0.5000
Re1 Re 0.0000 0.0000 0.0000
```